PBE AcAlCu3, relaxed; SG = No. 107; spin magnetization = 0.00 μB per formula unit; VASP energy = -0.1553 hartree per atom; formation enthalpy at 0 K = -0.199 eV per atom; excess energy over the best structure of this formula in the dataset = 3 meV/atom
1.0
4.525 0.000 0.000
0.000 4.525 0.000
-2.262 -2.262 4.714
Ac Al Cu
1 1 3
Cartesian
0.000 0.000 0.165
2.262 2.262 1.434
0.000 2.262 2.513
2.262 0.000 2.513
0.000 0.000 3.654